Density functional theory data (GGA-PBE) for crystalline Nd4Sm2Th3 at its relaxed geometry.

Properties
- density (g/cm³) = 8.3
- ΔE_f (eV/atom) = 0.27
- ΔE to the lowest computed polymorph (meV per atom) = 179
- SG = Immm, No. 71
- N(E_F) (states/eV per cell) = 14.84

a = 3.5414 Å, b = 12.0057 Å, c = 9.7258 Å
α = 128.11°, β = 100.49°, γ = 90.00°
With the nearest neighbours (Å) after each atom.
Sites, in units of the cell vectors:
Sm  0.8005  0.3005  0.6010  4 Th 3.42-3.46, 2 Sm 3.54, 4 Nd 3.65
Sm  0.1995  0.6995  0.3990  4 Th 3.42-3.46, 2 Sm 3.54, 4 Nd 3.65
Nd  0.3692  0.6207  0.7385  3 Th 3.49-3.59, 3 Nd 3.54-3.89, 3 Sm 3.65-3.91
Nd  0.3692  0.1178  0.7385  3 Th 3.49-3.59, 3 Nd 3.54-3.89, 3 Sm 3.65-3.91
Nd  0.6308  0.3793  0.2615  3 Th 3.49-3.59, 3 Nd 3.54-3.89, 3 Sm 3.65-3.91
Nd  0.6308  0.8822  0.2615  3 Th 3.49-3.59, 3 Nd 3.54-3.89, 3 Sm 3.65-3.91
Th  0.1041  0.1040  0.2081  1 Th 3.10, 2 Sm 3.42
Th  0.5000  0.5000  0.0000  4 Sm 3.46, 2 Th 3.54, 4 Nd 3.59
Th  0.8959  0.8960  0.7919  1 Th 3.10, 2 Sm 3.42

=====

Density functional theory data (GGA-PBE) for crystalline CuAg2HgIr at its relaxed geometry.

Properties
- density (g/cm³) = 8.3
- ΔE_f (eV/atom) = 1.20
- SG = P4/mmm, No. 123
- N(E_F) (states/eV per cell) = 4.75

a = 5.1082 Å, b = 5.1397 Å, c = 5.1082 Å
α = 90.00°, β = 90.00°, γ = 90.00°
With the nearest neighbours (Å) after each atom.
Sites, in units of the cell vectors:
Ag  0.0000  0.0000  0.5000  2 Ir 2.55
Ag  0.5000  0.0000  0.0000  2 Ir 2.55
Hg  0.0000  0.5000  0.0000  2 Ir 2.57
Ir  0.0000  0.0000  0.0000  4 Ag 2.55, 2 Hg 2.57
Cu  0.5000  0.5000  0.5000  4 Hg 3.61, 8 Ag 3.62